{
  "formula": "NaMn3O",
  "functional": "GGA+U",
  "state": "optimized geometry",
  "n_ef_per_ev_atom": 0.56,
  "space_group": "Pm-3m, No. 221",
  "crystal_system": "cubic",
  "vol_a3_per_fu": 146.6,
  "relative_energy_mev_per_atom": 1616,
  "density_g_cm3": 2.3,
  "lattice": [[5.273, 0.000, 0.000], [0.000, 5.273, 0.000], [0.000, 0.000, 5.273]],
  "species": ["Na", "Mn", "Mn", "Mn", "O"],
  "fractional_positions": [[0.000, 0.000, 0.000], [0.000, 0.000, 0.500], [0.000, 0.500, 0.000], [0.500, 0.000, 0.000], [0.500, 0.500, 0.500]]
}